1 | Pm2DyO | PBE-GGA | optimized geometry

Cell lengths 3.240, 3.240, 9.014 Å; angles 90.00, 90.00, 90.00 degrees
Space group P4/mmm (No. 123)
Symmetry-distinct sites (fractional):
Pm (0.000, 0.000, 0.172) x2
Dy (0.500, 0.500, 0.500) x1
O (0.500, 0.500, 0.000) x1

---

2 | Pm2DyO | PBE-GGA | optimized geometry

Cell lengths 3.6390, 3.6390, 26.6682 Å; angles 90.00, 90.00, 120.00 degrees
Space group R-3m (No. 166, hexagonal axes)
Symmetry-distinct sites (fractional):
Pm (0.0000, 0.0000, 0.2190) x6
Dy (0.0000, 0.0000, 0.0000) x3
O (0.0000, 0.0000, 0.5000) x3

---

Relative to the most stable structure, the computed energies are 1 0.446; 2 0.000, all in eV/atom.

---

1 | PmDyO2 | PBE-GGA | optimized geometry

Cell lengths 3.4438, 3.4438, 17.9107 Å; angles 90.00, 90.00, 120.00 degrees
Space group R3m (No. 160, hexagonal axes)
Symmetry-distinct sites (fractional):
Pm (0.0000, 0.0000, 0.0000) x3
Dy (0.0000, 0.0000, 0.8224) x3
O (0.0000, 0.0000, 0.2335) x3
O (0.0000, 0.0000, 0.4231) x3

---

2 | PmDyO2 | PBE-GGA | optimized geometry

Cell lengths 3.6131, 3.6131, 20.0560 Å; angles 90.00, 90.00, 120.00 degrees
Space group R-3m (No. 166, hexagonal axes)
Symmetry-distinct sites (fractional):
Pm (0.0000, 0.0000, 0.0000) x3
Dy (0.0000, 0.0000, 0.5000) x3
O (0.0000, 0.0000, 0.1144) x6

---

Relative to the most stable structure, the computed energies are 1 0.139; 2 0.000, all in eV/atom.

---

1 | PmDy2O | PBE-GGA | optimized geometry

Cell lengths 3.5222, 3.5222, 26.4605 Å; angles 90.00, 90.00, 120.00 degrees
Space group R-3m (No. 166, hexagonal axes)
Symmetry-distinct sites (fractional):
Pm (0.0000, 0.0000, 0.0000) x3
Dy (0.0000, 0.0000, 0.2185) x6
O (0.0000, 0.0000, 0.5000) x3

---

2 | PmDy2O | PBE-GGA | optimized geometry

Cell lengths 3.196, 3.196, 8.834 Å; angles 90.00, 90.00, 90.00 degrees
Space group P4/mmm (No. 123)
Symmetry-distinct sites (fractional):
Pm (0.000, 0.000, 0.000) x1
Dy (0.500, 0.500, 0.326) x2
O (0.000, 0.000, 0.500) x1

---

Relative to the most stable structure, the computed energies are 1 0.000; 2 0.547, all in eV/atom.

---

1 | PrDy2O | PBE-GGA | optimized geometry

Cell lengths 3.4957, 3.4957, 28.4285 Å; angles 90.00, 90.00, 120.00 degrees
Space group R-3m (No. 166, hexagonal axes)
Symmetry-distinct sites (fractional):
Pr (0.0000, 0.0000, 0.0000) x3
Dy (0.0000, 0.0000, 0.1205) x6
O (0.0000, 0.0000, 0.5000) x3

---

2 | PrDy2O | PBE-GGA | optimized geometry

Cell lengths 3.207, 3.207, 8.906 Å; angles 90.00, 90.00, 90.00 degrees
Space group P4/mmm (No. 123)
Symmetry-distinct sites (fractional):
Pr (0.000, 0.000, 0.000) x1
Dy (0.500, 0.500, 0.327) x2
O (0.000, 0.000, 0.500) x1

---

Relative to the most stable structure, the computed energies are 1 0.000; 2 0.428, all in eV/atom.

---

1 | Pr2DyO | PBE-GGA | optimized geometry

Cell lengths 3.6692, 3.6692, 28.0831 Å; angles 90.00, 90.00, 120.00 degrees
Space group R-3m (No. 166, hexagonal axes)
Symmetry-distinct sites (fractional):
Pr (0.0000, 0.0000, 0.1180) x6
Dy (0.0000, 0.0000, 0.0000) x3
O (0.0000, 0.0000, 0.5000) x3

---

2 | Pr2DyO | PBE-GGA | optimized geometry

Cell lengths 3.280, 3.280, 9.193 Å; angles 90.00, 90.00, 90.00 degrees
Space group P4/mmm (No. 123)
Symmetry-distinct sites (fractional):
Pr (0.000, 0.000, 0.171) x2
Dy (0.500, 0.500, 0.500) x1
O (0.500, 0.500, 0.000) x1

---

Relative to the most stable structure, the computed energies are 1 0.000; 2 0.301, all in eV/atom.

---

1 | Dy2PtO | PBE-GGA | optimized geometry

Cell lengths 3.6360, 3.6360, 19.9786 Å; angles 90.00, 90.00, 120.00 degrees
Space group R-3m (No. 166, hexagonal axes)
Symmetry-distinct sites (fractional):
Dy (0.0000, 0.0000, 0.2379) x6
Pt (0.0000, 0.0000, 0.0000) x3
O (0.0000, 0.0000, 0.5000) x3

---

2 | Dy2PtO | PBE-GGA | optimized geometry

Cell lengths 5.833, 5.786, 10.952 Å; angles 90.00, 115.81, 90.00 degrees
Space group P2/c (No. 13)
Symmetry-distinct sites (fractional):
Dy (0.047, 0.238, 0.095) x4
Dy (0.320, 0.203, 0.853) x4
Pt (0.416, 0.305, 0.363) x4
O (0.037, 0.143, 0.623) x4

---

Relative to the most stable structure, the computed energies are 1 0.112; 2 0.000, all in eV/atom.

---

1 | Dy2PuO6 | PBE-GGA | optimized geometry

Cell lengths 3.848, 5.345, 11.072 Å; angles 90.00, 90.00, 90.00 degrees
Space group Immm (No. 71)
Symmetry-distinct sites (fractional):
Dy (0.000, 0.000, 0.166) x4
Pu (0.000, 0.000, 0.500) x2
O (0.000, 0.242, 0.344) x8
O (0.000, 0.269, 0.000) x4

---

2 | Dy2PuO6 | PBE-GGA | optimized geometry

Cell lengths 5.090, 5.090, 10.374 Å; angles 90.00, 90.00, 90.00 degrees
Space group P4_2/mnm (No. 136)
Symmetry-distinct sites (fractional):
Dy (0.000, 0.000, 0.166) x4
Pu (0.000, 0.000, 0.500) x2
O (0.185, 0.185, 0.346) x8
O (0.209, 0.209, 0.000) x4

---

Relative to the most stable structure, the computed energies are 1 0.000; 2 0.008, all in eV/atom.

---

1 | DyPuO | PBE-GGA | optimized geometry

Cell lengths 3.4602, 3.4602, 6.0226 Å; angles 90.00, 90.00, 120.00 degrees
Space group P3m1 (No. 156)
Symmetry-distinct sites (fractional):
Dy (0.0000, 0.0000, 0.0000) x1
Pu (0.3333, 0.6667, 0.4689) x1
O (0.6667, 0.3333, 0.2256) x1

---

2 | DyPuO | PBE-GGA | optimized geometry

Cell lengths 11.972, 3.553, 6.420 Å; angles 90.00, 115.10, 90.00 degrees
Space group C2/m (No. 12)
Symmetry-distinct sites (fractional):
Dy (0.113, 0.000, 0.331) x4
Pu (0.183, 0.500, 0.908) x4
O (0.226, 0.500, 0.314) x4

---

Relative to the most stable structure, the computed energies are 1 0.000; 2 0.167, all in eV/atom.